(1)
This record from Alexandria describes a relaxed structure of YNb2Sb2. The functional is PBE-GGA.

Formation energy without anion corrections = -0.36 eV/atom
Raw total energy = -7.326 eV/atom
Offset from the most stable computed form = 0 meV/atom

Lattice parameters (Å, degrees): 4.035 4.035 7.845 75.10 75.10 90.00
Element x y z (fractional)
Y  0.000  0.000  0.000
Sb  0.389  0.389  0.222
Sb  0.611  0.611  0.778
Nb  0.750  0.250  0.500
Nb  0.250  0.750  0.500

(2)
This record from Alexandria describes a relaxed structure of Y3NbSb. The functional is PBE-GGA.

Formation energy without anion corrections = 0.62 eV/atom
Raw total energy = -6.093 eV/atom
Offset from the most stable computed form = 271 meV/atom

Lattice parameters (Å, degrees): 5.627 5.627 5.627 90.00 90.00 90.00
Each line ends with the local moment (μB).
Element x y z (fractional)
Y  0.000  0.500  0.000  -0.03
Y  0.000  0.000  0.500  0.00
Y  0.500  0.000  0.000  -0.03
Sb  0.000  0.000  0.000  0.02
Nb  0.500  0.500  0.500  2.31

(3)
This record from Alexandria describes a relaxed structure of Y2NbSb. The functional is PBE-GGA.

Formation energy without anion corrections = 0.25 eV/atom
Raw total energy = -6.526 eV/atom
Offset from the most stable computed form = 351 meV/atom

Lattice parameters (Å, degrees): 8.336 8.336 6.631 51.06 51.06 90.00
Each line ends with the local moment (μB).
Element x y z (fractional)
Y  0.624  0.125  0.250  0.14
Y  0.126  0.625  0.250  0.14
Y  0.375  0.376  0.750  0.15
Y  0.875  0.874  0.750  0.15
Sb  0.000  0.000  0.000  0.00
Sb  0.750  0.250  0.500  0.00
Nb  0.500  0.500  0.000  0.15
Nb  0.250  0.750  0.500  0.15

(4)
This record from Alexandria describes a relaxed structure of Y3NbSb. The functional is PBE-GGA.

Formation energy without anion corrections = 0.35 eV/atom
Raw total energy = -6.364 eV/atom
Offset from the most stable computed form = 0 meV/atom

Lattice parameters (Å, degrees): 5.392 5.392 5.392 90.00 90.00 90.00
Element x y z (fractional)
Y  0.000  0.500  0.000
Y  0.000  0.000  0.500
Y  0.500  0.000  0.000
Sb  0.500  0.500  0.500
Nb  0.000  0.000  0.000

(5)
This record from Alexandria describes a relaxed structure of YNbSb2. The functional is PBE-GGA.

Formation energy without anion corrections = 0.13 eV/atom
Raw total energy = -6.067 eV/atom
Offset from the most stable computed form = 481 meV/atom

Lattice parameters (Å, degrees): 6.457 6.457 8.363 67.29 67.29 90.00
Each line ends with the local moment (μB).
Element x y z (fractional)
Y  0.500  0.500  0.000  0.11
Y  0.250  0.750  0.500  0.10
Sb  0.664  0.125  0.250  -0.05
Sb  0.086  0.625  0.250  -0.05
Sb  0.375  0.336  0.750  -0.05
Sb  0.875  0.914  0.750  -0.05
Nb  0.000  0.000  0.000  1.46
Nb  0.750  0.250  0.500  1.47

(6)
This record from Alexandria describes a relaxed structure of YNb2Sb. The functional is PBE-GGA.

Formation energy without anion corrections = 0.21 eV/atom
Raw total energy = -7.473 eV/atom
Offset from the most stable computed form = 0 meV/atom

Lattice parameters (Å, degrees): 4.884 4.884 4.884 60.00 60.00 60.00
Element x y z (fractional)
Y  0.000  0.000  0.000
Sb  0.500  0.500  0.500
Nb  0.250  0.250  0.250
Nb  0.750  0.750  0.750

(7)
This record from Alexandria describes a relaxed structure of Y2NbSb2. The functional is PBE-GGA.

Formation energy without anion corrections = 0.25 eV/atom
Raw total energy = -5.995 eV/atom
Offset from the most stable computed form = 879 meV/atom

Lattice parameters (Å, degrees): 4.264 4.264 7.770 74.07 74.07 90.00
Element x y z (fractional)
Y  0.750  0.250  0.500
Y  0.250  0.750  0.500
Sb  0.402  0.402  0.195
Sb  0.598  0.598  0.805
Nb  0.000  0.000  0.000

(8)
This record from Alexandria describes a relaxed structure of Y2NbSb. The functional is PBE-GGA.

Formation energy without anion corrections = -0.10 eV/atom
Raw total energy = -6.877 eV/atom
Offset from the most stable computed form = 0 meV/atom

Lattice parameters (Å, degrees): 5.186 5.186 5.186 60.00 60.00 60.00
Each line ends with the local moment (μB).
Element x y z (fractional)
Y  0.250  0.250  0.250  0.02
Y  0.750  0.750  0.750  0.02
Sb  0.500  0.500  0.500  -0.01
Nb  0.000  0.000  0.000  0.56